Arrangement 1

# CaZn2Re | Alexandria via LeMat-Bulk | PBE | relaxed
data_CaZn2Re
_cell_length_a 2.844
_cell_length_b 4.544
_cell_length_c 5.477
_cell_angle_alpha 90.00
_cell_angle_beta 99.63
_cell_angle_gamma 90.00
_space_group_name_H-M_alt 'P 1 m 1'
_space_group_IT_number 6
loop_
_space_group_symop_operation_xyz
'x,y,z'
'x,-y,z'
loop_
_atom_site_label
_atom_site_fract_x
_atom_site_fract_y
_atom_site_fract_z
Ca1 0.000 0.000 0.000
Zn1 0.369 0.000 0.487
Zn2 0.419 0.500 0.768
Re1 0.736 0.500 0.338
# magnetic moment = 0.00 μB/cell

Arrangement 2

# CaZn2Re | Alexandria via LeMat-Bulk | PBE | relaxed
data_CaZn2Re
_cell_length_a 3.955
_cell_length_b 3.955
_cell_length_c 8.975
_cell_angle_alpha 90.00
_cell_angle_beta 90.00
_cell_angle_gamma 90.00
_space_group_name_H-M_alt 'I -4 m 2'
_space_group_IT_number 119
_space_group_name_Hall 'I -4 -2'
loop_
_atom_site_label
_atom_site_fract_x
_atom_site_fract_y
_atom_site_fract_z
Ca1 0.000 0.000 0.000
Zn1 0.000 0.000 0.500
Zn2 0.000 0.500 0.250
Re1 0.000 0.500 0.750
# magnetic moment = 0.00 μB/cell

Short version: arrangement 1, arrangement 2, most stable first.

Arrangement 1

# CaZn2Re | Alexandria via LeMat-Bulk | PBE | relaxed
data_CaZn2Re
_cell_length_a 9.230
_cell_length_b 2.723
_cell_length_c 5.779
_cell_angle_alpha 90.00
_cell_angle_beta 95.53
_cell_angle_gamma 90.00
_space_group_name_H-M_alt 'C 1 2/m 1'
_space_group_IT_number 12
loop_
_space_group_symop_operation_xyz
'x,y,z'
'-x,-y,-z'
'-x,y,-z'
'x,-y,z'
'x+1/2,y+1/2,z'
'-x+1/2,-y+1/2,-z'
'-x+1/2,y+1/2,-z'
'x+1/2,-y+1/2,z'
loop_
_atom_site_label
_atom_site_fract_x
_atom_site_fract_y
_atom_site_fract_z
Ca1 0.000 0.000 0.000
Zn1 0.241 0.000 0.693
Re1 0.000 0.500 0.500
# magnetic moment = 0.00 μB/cell

Arrangement 2

# CaZn2Re | Alexandria via LeMat-Bulk | PBE | relaxed
data_CaZn2Re
_cell_length_a 3.769
_cell_length_b 4.112
_cell_length_c 8.894
_cell_angle_alpha 90.00
_cell_angle_beta 90.00
_cell_angle_gamma 90.00
_space_group_name_H-M_alt 'C m m 2'
_space_group_IT_number 35
loop_
_space_group_symop_operation_xyz
'x,y,z'
'-x,-y,z'
'-x,y,z'
'x,-y,z'
'x+1/2,y+1/2,z'
'-x+1/2,-y+1/2,z'
'-x+1/2,y+1/2,z'
'x+1/2,-y+1/2,z'
loop_
_atom_site_label
_atom_site_fract_x
_atom_site_fract_y
_atom_site_fract_z
Ca1 0.000 0.000 0.000
Zn1 0.000 0.000 0.500
Zn2 0.000 0.500 0.276
Re1 0.000 0.500 0.724
# magnetic moment = 0.00 μB/cell

Arrangement 3

# CaZn2Re | Alexandria via LeMat-Bulk | PBE | relaxed
data_CaZn2Re
_cell_length_a 4.469
_cell_length_b 4.469
_cell_length_c 17.858
_cell_angle_alpha 90.00
_cell_angle_beta 90.00
_cell_angle_gamma 90.00
_space_group_name_H-M_alt 'I -4 2 d'
_space_group_IT_number 122
_space_group_name_Hall 'I -4 2bw'
loop_
_atom_site_label
_atom_site_fract_x
_atom_site_fract_y
_atom_site_fract_z
Ca1 0.000 0.000 0.000
Zn1 0.120 0.250 0.625
Re1 0.000 0.000 0.500
# magnetic moment = 0.00 μB/cell

Short version: arrangement 1, arrangement 2, arrangement 3, most stable first.

Arrangement 1

# CaZn2Re | Alexandria via LeMat-Bulk | PBE | relaxed
data_CaZn2Re
_cell_length_a 2.814
_cell_length_b 2.814
_cell_length_c 8.732
_cell_angle_alpha 90.00
_cell_angle_beta 90.00
_cell_angle_gamma 90.00
_space_group_name_H-M_alt 'P 4/m m m'
_space_group_IT_number 123
_space_group_name_Hall '-P 4 2'
loop_
_atom_site_label
_atom_site_fract_x
_atom_site_fract_y
_atom_site_fract_z
Ca1 0.000 0.000 0.000
Zn1 0.500 0.500 0.275
Re1 0.000 0.000 0.500
# magnetic moment = 0.00 μB/cell

Arrangement 2

# CaZn2Re | Alexandria via LeMat-Bulk | PBE | relaxed
data_CaZn2Re
_cell_length_a 2.980
_cell_length_b 5.096
_cell_length_c 9.997
_cell_angle_alpha 90.00
_cell_angle_beta 90.00
_cell_angle_gamma 90.00
_space_group_name_H-M_alt 'I m m m'
_space_group_IT_number 71
_space_group_name_Hall '-I 2 2'
loop_
_atom_site_label
_atom_site_fract_x
_atom_site_fract_y
_atom_site_fract_z
Ca1 0.000 0.000 0.000
Zn1 0.000 0.500 0.215
Re1 0.000 0.000 0.500
# magnetic moment = 0.00 μB/cell

Short version: arrangement 1, arrangement 2, most stable first.